1.
An optimized crystal structure of TePd3W. Source: Alexandria via LeMat-Bulk, functional PBEsol.

Summary:
total magnetization	0.0	μB/f.u.
total DFT energy (no corrections)	-5.892	eV/atom
raw formation energy	1.150	eV per atom
space group	Pm-3m (221)

a = 4.7784 Å, b = 4.7784 Å, c = 4.7784 Å
α = 90.00°, β = 90.00°, γ = 90.00°
Element x y z (fractional)
Te  0.0000  0.0000  0.0000
Pd  0.0000  0.5000  0.5000
Pd  0.5000  0.0000  0.5000
Pd  0.5000  0.5000  0.0000
W  0.5000  0.5000  0.5000

2.
An optimized crystal structure of Sn7S2Br10. Source: Alexandria via LeMat-Bulk, functional PBEsol.

Summary:
total magnetization	0.0	μB/f.u.
total DFT energy (no corrections)	-3.621	eV/atom
raw formation energy	-0.606	eV per atom
space group	P1 (1)

a = 7.0818 Å, b = 9.1339 Å, c = 10.1885 Å
α = 65.28°, β = 89.55°, γ = 86.08°
Element x y z (fractional)
Sn  0.0000  0.0000  0.0000
Sn  0.0112  0.9023  0.6454
Sn  0.2999  0.4215  0.8290
Sn  0.3687  0.7285  0.0213
Sn  0.4925  0.7343  0.3631
Sn  0.8812  0.2932  0.1496
Sn  0.9734  0.3829  0.4497
S  0.1221  0.6553  0.8824
S  0.9680  0.3068  0.9034
Br  0.1276  0.5955  0.5468
Br  0.1478  0.0222  0.2737
Br  0.2367  0.1040  0.7210
Br  0.3063  0.4391  0.2530
Br  0.5967  0.8572  0.5422
Br  0.6284  0.4296  0.5735
Br  0.6318  0.5624  0.9361
Br  0.6447  0.0726  0.1232
Br  0.7382  0.9985  0.7942
Br  0.8329  0.6606  0.2257

3.
An optimized crystal structure of IrRu2W. Source: Alexandria via LeMat-Bulk, functional PBEsol.

Summary:
distance to the lowest polymorph of the same formula	4	meV/atom
total magnetization	0.0	μB/f.u.
total DFT energy (no corrections)	-11.165	eV/atom
calculated formation energy	-0.17	eV/atom
space group	Pmm2 (25)

a = 2.7382 Å, b = 4.3504 Å, c = 4.7062 Å
α = 90.00°, β = 90.00°, γ = 90.00°
Element x y z (fractional)
Ir  0.0000  0.0000  0.0000
Ru  0.0000  0.5000  0.6590
Ru  0.5000  0.0000  0.5072
W  0.5000  0.5000  0.1737

4.
An optimized crystal structure of WSNCl2. Source: Alexandria via LeMat-Bulk, functional PBEsol.

Summary:
distance to the lowest polymorph of the same formula	761	meV/atom
total magnetization	3.4	μB/f.u.
total DFT energy (no corrections)	-4.579	eV/atom
raw formation energy	1.568	eV per atom
space group	P4/mmm (123)

a = 4.1158 Å, b = 4.1158 Å, c = 4.3609 Å
α = 90.00°, β = 90.00°, γ = 90.00°
Element x y z (fractional)
W  0.0000  0.0000  0.0000
S  0.5000  0.5000  0.0000
N  0.5000  0.5000  0.5000
Cl  0.0000  0.5000  0.5000
Cl  0.5000  0.0000  0.5000

5.
An optimized crystal structure of P5Au4. Source: Alexandria via LeMat-Bulk, functional PBEsol.

Summary:
total magnetization	0.0	μB/f.u.
total DFT energy (no corrections)	-4.521	eV/atom
calculated formation energy	0.44	eV/atom
space group	I4/mmm (139)

a = 7.0538 Å, b = 7.0538 Å, c = 7.0538 Å
α = 92.74°, β = 92.74°, γ = 154.74°
Element x y z (fractional)
P  0.0000  0.0000  0.0000
P  0.3113  0.3113  0.6227
P  0.3113  0.6887  0.0000
P  0.6887  0.3113  0.0000
P  0.6887  0.6887  0.3773
Au  0.0000  0.3220  0.3220
Au  0.0000  0.6780  0.6780
Au  0.3220  0.0000  0.3220
Au  0.6780  0.0000  0.6780

6.
An optimized crystal structure of Ti2NbGaI. Source: Alexandria via LeMat-Bulk, functional PBEsol.

Summary:
total magnetization	0.0	μB/f.u.
total DFT energy (no corrections)	-5.488	eV/atom
raw formation energy	1.027	eV per atom
space group	P4/mmm (123)

a = 4.8133 Å, b = 4.8133 Å, c = 5.3274 Å
α = 90.00°, β = 90.00°, γ = 90.00°
Element x y z (fractional)
Ti  0.0000  0.5000  0.0000
Ti  0.5000  0.0000  0.0000
Nb  0.0000  0.0000  0.0000
Ga  0.5000  0.5000  0.5000
I  0.0000  0.0000  0.5000

7.
An optimized crystal structure of BePt2Se. Source: Alexandria via LeMat-Bulk, functional PBEsol.

Summary:
distance to the lowest polymorph of the same formula	169	meV/atom
total magnetization	0.0	μB/f.u.
total DFT energy (no corrections)	-5.354	eV/atom
raw formation energy	0.091	eV per atom
space group	Fm-3m (225)

a = 4.3158 Å, b = 4.3158 Å, c = 4.3158 Å
α = 60.00°, β = 60.00°, γ = 60.00°
Element x y z (fractional)
Be  0.0000  0.0000  0.0000
Pt  0.2500  0.2500  0.2500
Pt  0.7500  0.7500  0.7500
Se  0.5000  0.5000  0.5000

8.
An optimized crystal structure of MgSn2As2. Source: Alexandria via LeMat-Bulk, functional PBEsol.

Summary:
total magnetization	0.0	μB/f.u.
total DFT energy (no corrections)	-3.982	eV/atom
calculated formation energy	0.11	eV/atom
space group	I4/mmm (139)

a = 8.8879 Å, b = 8.8879 Å, c = 8.8879 Å
α = 155.74°, β = 155.74°, γ = 34.57°
Element x y z (fractional)
Mg  0.0000  0.0000  0.0000
Sn  0.3983  0.3983  0.0000
Sn  0.6017  0.6017  0.0000
As  0.2500  0.7500  0.5000
As  0.7500  0.2500  0.5000

9.
An optimized crystal structure of HPdI2N. Source: Alexandria via LeMat-Bulk, functional PBEsol.

Summary:
total magnetization	1.2	μB/f.u.
total DFT energy (no corrections)	-3.235	eV/atom
space group	P4/mmm (123)

a = 5.2951 Å, b = 5.2951 Å, c = 2.9222 Å
α = 90.00°, β = 90.00°, γ = 90.00°
Element x y z (fractional)
H  0.0000  0.0000  0.0000
Pd  0.5000  0.5000  0.5000
I  0.0000  0.5000  0.0000
I  0.5000  0.0000  0.0000
N  0.0000  0.0000  0.5000

10.
An optimized crystal structure of Ca2ScBr. Source: Alexandria via LeMat-Bulk, functional PBEsol.

Summary:
distance to the lowest polymorph of the same formula	252	meV/atom
total magnetization	0.0	μB/f.u.
total DFT energy (no corrections)	-3.459	eV/atom
raw formation energy	-0.274	eV per atom
space group	Cmmm (65)

a = 5.8529 Å, b = 5.8529 Å, c = 3.5798 Å
α = 90.00°, β = 90.00°, γ = 103.39°
Element x y z (fractional)
Ca  0.0000  0.5000  0.0000
Ca  0.5000  0.0000  0.0000
Sc  0.0000  0.0000  0.5000
Br  0.5000  0.5000  0.5000

11.
An optimized crystal structure of CaTeRu4. Source: Alexandria via LeMat-Bulk, functional PBEsol.

Summary:
total magnetization	0.0	μB/f.u.
total DFT energy (no corrections)	-7.358	eV/atom
raw formation energy	0.367	eV per atom
space group	F-43m (216)

a = 5.2161 Å, b = 5.2161 Å, c = 5.2161 Å
α = 60.00°, β = 60.00°, γ = 60.00°
Element x y z (fractional)
Ca  0.0000  0.0000  0.0000
Te  0.2500  0.2500  0.2500
Ru  0.1273  0.6242  0.6242
Ru  0.6242  0.1273  0.6242
Ru  0.6242  0.6242  0.1273
Ru  0.6242  0.6242  0.6242

12.
An optimized crystal structure of CeCo2P2. Source: Alexandria via LeMat-Bulk, functional PBEsol.

Summary:
total magnetization	1.2	μB/f.u.
total DFT energy (no corrections)	-7.809	eV/atom
calculated formation energy	-1.08	eV/atom
space group	I4/mmm (139)

a = 5.4250 Å, b = 5.4250 Å, c = 5.4250 Å
α = 138.63°, β = 138.63°, γ = 59.94°
Element x y z (fractional)
Ce  0.0000  0.0000  0.0000
Co  0.2500  0.7500  0.5000
Co  0.7500  0.2500  0.5000
P  0.3724  0.3724  0.0000
P  0.6276  0.6276  0.0000